Record 1
Compound: NaSrCd
Source: Alexandria
Functional: PBE
Structure: relaxed

The formation energy is -0.185 eV per atom. As for the symmetry: P2_1/m.

Cell: 4.9064 4.4366 10.4516 Å, 102.00 90.00 90.00°
Fractional coordinates of all 6 atoms:
Na  0.2500  0.7026  0.4100
Na  0.7500  0.2974  0.5900
Sr  0.7500  0.0896  0.1839
Sr  0.2500  0.9104  0.8161
Cd  0.2500  0.5415  0.0850
Cd  0.7500  0.4585  0.9150

Record 2
Compound: In2PtPb2
Source: Alexandria
Functional: PBE
Structure: relaxed

The formation energy is 0.075 eV per atom. As for the symmetry: P4/mbm.

Cell: 7.2495 7.2495 5.3319 Å, 90.00 90.00 90.00°
Fractional coordinates of all 10 atoms:
Pt  0.0000  0.0000  0.0000
Pt  0.5000  0.5000  0.0000
Pb  0.1542  0.3458  0.0000
Pb  0.3458  0.8458  0.0000
Pb  0.6542  0.1542  0.0000
Pb  0.8458  0.6542  0.0000
In  0.8373  0.3373  0.5000
In  0.1627  0.6627  0.5000
In  0.6627  0.8373  0.5000
In  0.3373  0.1627  0.5000

Record 3
Compound: Ac2USe2N2
Source: Alexandria
Functional: PBE
Structure: relaxed

The energy relative to the elements, uncorrected is -11.81 eV per formula unit. As for the symmetry: C2/m.

Cell: 4.1105 6.5985 7.1748 Å, 66.35 73.35 71.85°
Each line ends with the local moment (μB).
Fractional coordinates of all 7 atoms:
U  0.0000  0.0000  0.0000  1.55
Ac  0.1899  0.3558  0.2644  0.02
Ac  0.8101  0.6442  0.7356  0.02
N  0.1806  0.7097  0.9291  -0.04
N  0.8194  0.2903  0.0709  -0.04
Se  0.4363  0.8006  0.3267  -0.01
Se  0.5637  0.1994  0.6733  -0.01

Record 4
Compound: Mg8Tl2Ga
Source: Alexandria
Functional: PBE
Structure: relaxed

The formation energy is -0.027 eV per atom. As for the symmetry: C2/m.

Cell: 4.8485 7.1210 8.2725 Å, 112.26 107.04 90.00°
Fractional coordinates of all 11 atoms:
Mg  0.6610  0.9182  0.3220
Mg  0.0229  0.7830  0.0458
Mg  0.9771  0.2170  0.9542
Mg  0.8244  0.7654  0.6488
Mg  0.3390  0.0818  0.6780
Mg  0.4073  0.5653  0.8145
Mg  0.1756  0.2346  0.3512
Mg  0.5927  0.4347  0.1855
Ga  0.5000  0.0000  0.0000
Tl  0.8125  0.3331  0.6250
Tl  0.1875  0.6669  0.3750

Record 5
Compound: TiBe
Source: Alexandria
Functional: PBE
Structure: relaxed

The formation energy is 1.571 eV per atom. As for the symmetry: F-43m.

Cell: 5.3370 5.3370 5.3370 Å, 90.00 90.00 90.00°
Each line ends with the local moment (μB).
Fractional coordinates of all 8 atoms:
Be  0.7500  0.2500  0.7500  0.09
Be  0.2500  0.2500  0.2500  0.09
Be  0.2500  0.7500  0.7500  0.09
Be  0.7500  0.7500  0.2500  0.09
Ti  0.0000  0.5000  0.5000  0.60
Ti  0.5000  0.5000  0.0000  0.60
Ti  0.5000  0.0000  0.5000  0.60
Ti  0.0000  0.0000  0.0000  0.60

Record 6
Compound: AcLa2DySe5
Source: Alexandria
Functional: PBE
Structure: relaxed

The energy relative to the elements, uncorrected is -13.52 eV per formula unit. As for the symmetry: P4/mmm.

Cell: 5.1636 5.1636 11.3841 Å, 90.00 90.00 90.00°
Each line ends with the local moment (μB).
Fractional coordinates of all 9 atoms:
Se  0.0000  0.5000  0.5000  -0.01
Se  0.0000  0.0000  0.2560  0.00
Se  0.0000  0.0000  0.7440  0.00
Se  0.5000  0.5000  0.0000  0.01
Se  0.5000  0.0000  0.5000  -0.01
Dy  0.0000  0.0000  0.5000  0.04
La  0.5000  0.5000  0.6660  0.30
La  0.5000  0.5000  0.3340  0.30
Ac  0.0000  0.0000  0.0000  0.01

Record 7
Compound: La2P4O13
Source: Alexandria
Functional: PBE
Structure: relaxed

The energy relative to the elements, uncorrected is -51.17 eV per formula unit. As for the symmetry: C222_1.

Cell: 9.7791 9.7791 8.9570 Å, 90.00 90.00 135.47°
Fractional coordinates of all 38 atoms:
O  0.6000  0.8267  0.8844
O  0.2620  0.5709  0.1114
O  0.8028  0.6325  0.3969
O  0.7945  0.7604  0.7861
O  0.0314  0.4829  0.9002
O  0.9686  0.5171  0.4002
O  0.4829  0.0314  0.0998
O  0.6325  0.8028  0.6031
O  0.2337  0.9349  0.9051
O  0.9349  0.2337  0.0949
O  0.0906  0.9094  0.2500
O  0.7663  0.0651  0.4051
O  0.0651  0.7663  0.5949
O  0.4000  0.1733  0.3844
O  0.1972  0.3675  0.8969
O  0.3675  0.1972  0.1031
O  0.8267  0.6000  0.1156
O  0.4291  0.7380  0.3886
O  0.5709  0.2620  0.8886
O  0.2055  0.2396  0.2861
O  0.2396  0.2055  0.7139
O  0.5171  0.9686  0.5998
O  0.1733  0.4000  0.6156
O  0.7380  0.4291  0.6114
O  0.9094  0.0906  0.7500
O  0.7604  0.7945  0.2139
P  0.1411  0.2709  0.7345
P  0.2709  0.1411  0.2655
P  0.5840  0.9011  0.4995
P  0.7291  0.8589  0.7655
P  0.9011  0.5840  0.5005
P  0.4160  0.0989  0.9995
P  0.8589  0.7291  0.2345
P  0.0989  0.4160  0.0005
La  0.8961  0.6061  0.8598
La  0.6061  0.8961  0.1402
La  0.1039  0.3939  0.3598
La  0.3939  0.1039  0.6402

Record 8
Compound: CsHf2Re
Source: Alexandria
Functional: PBE
Structure: relaxed

The formation energy is 1.235 eV per atom. As for the symmetry: Fm-3m.

Cell: 4.9943 4.9943 4.9943 Å, 60.00 60.00 60.00°
Fractional coordinates of all 4 atoms:
Hf  0.2500  0.2500  0.2500
Hf  0.7500  0.7500  0.7500
Cs  0.0000  0.0000  0.0000
Re  0.5000  0.5000  0.5000

Number 1: final energy -1.490 eV per atom, volume 111 Å³/f.u.. Number 2: final energy -3.712 eV per atom, volume 140 Å³/f.u.. Number 3: final energy -7.848 eV per atom, volume 166 Å³/f.u.. Number 4: final energy -1.892 eV per atom, volume 251 Å³/f.u.. Number 5: final energy -4.240 eV per atom, volume 38 Å³/f.u.. Number 6: final energy -5.501 eV per atom, volume 304 Å³/f.u.. Number 7: final energy -7.743 eV per atom, volume 300 Å³/f.u.. Number 8: final energy -7.067 eV per atom, volume 88 Å³/f.u..